No. 1
DFT (PBE) results for a geometry-optimized SiAsOsO structure. Values from VASP.

Cell and atoms, written as Quantum ESPRESSO input:
```
&SYSTEM
  ibrav = 0, nat = 8, ntyp = 4
/
ATOMIC_SPECIES
Os 190.23 Os.upf
O 16.00 O.upf
Si 28.09 Si.upf
As 74.92 As.upf
CELL_PARAMETERS angstrom
-1.411 -0.424 3.021
-2.358 -1.960 -1.376
5.734 -7.993 1.556
ATOMIC_POSITIONS angstrom
Os 2.146 -8.719 2.583
Os -0.181 -1.657 0.618
O -1.648 -0.808 1.922
O -2.121 -1.576 -0.277
Si 1.219 -4.804 2.700
Si 0.745 -5.572 0.501
As 3.303 -6.514 1.564
As -1.338 -3.863 1.638
```

Properties
Electronic total energy in eV/f.u.: -24.87
Energy above the most stable polymorph in this dataset in meV/atom: 678



No. 2
DFT (PBE) results for a geometry-optimized KAlZnF6 structure. Values from VASP.

Cell and atoms, written as Quantum ESPRESSO input:
```
&SYSTEM
  ibrav = 0, nat = 36, ntyp = 4
/
ATOMIC_SPECIES
Zn 65.41 Zn.upf
F 19.00 F.upf
Al 26.98 Al.upf
K 39.10 K.upf
CELL_PARAMETERS angstrom
6.986 0.000 0.000
0.000 9.494 0.000
-0.176 0.000 6.542
ATOMIC_POSITIONS angstrom
Zn 5.099 7.349 4.467
Zn 1.710 2.145 2.075
Zn 1.622 2.602 5.346
Zn 5.187 6.892 1.196
F 1.719 3.357 0.586
F 5.179 8.104 2.685
F 3.732 8.865 4.905
F 5.091 6.137 5.956
F 3.820 5.376 1.634
F 6.719 1.660 5.850
F 0.280 4.083 4.893
F 6.529 5.411 1.649
F 6.441 8.830 4.920
F 3.518 3.066 2.637
F 5.236 0.094 0.457
F 1.574 9.400 6.085
F 3.430 1.681 5.908
F 5.148 4.653 3.728
F 3.292 6.428 3.905
F 0.091 7.834 0.692
F 0.003 6.407 3.963
F 0.368 0.664 1.622
F 3.077 0.629 1.637
F 6.807 3.087 2.579
F 1.631 1.390 3.857
F 2.990 4.118 4.908
F 1.662 4.841 2.814
F 3.380 7.813 0.634
Al 3.493 0.000 0.000
Al 3.405 4.747 3.271
Al -0.088 4.747 3.271
Al 0.000 0.000 0.000
K 1.623 8.324 3.146
K 1.535 5.918 6.417
K 5.187 1.171 3.396
K 5.275 3.576 0.125
```

Properties
Electronic total energy in eV/f.u.: -44.27



No. 3
DFT (PBE) results for a geometry-optimized HgAu2IBr3 structure. Values from VASP.

Cell and atoms, written as Quantum ESPRESSO input:
```
&SYSTEM
  ibrav = 0, nat = 7, ntyp = 4
/
ATOMIC_SPECIES
Br 79.90 Br.upf
Hg 200.59 Hg.upf
I 126.90 I.upf
Au 196.97 Au.upf
CELL_PARAMETERS angstrom
-0.289 -4.353 -4.359
6.061 -0.988 0.778
-3.956 -1.743 6.059
ATOMIC_POSITIONS angstrom
Br 1.090 -4.669 -2.069
Br 0.693 -4.649 2.237
Br -2.225 -2.021 3.957
Hg -3.948 -1.776 6.027
I 3.962 -2.954 0.802
Au -0.695 -4.254 -0.088
Au 3.006 -2.639 -1.686
```

Properties
Electronic total energy in eV/f.u.: -14.26



No. 4
DFT (PBE) results for a geometry-optimized DyNbS2Cl2 structure. Values from VASP.

Cell and atoms, written as Quantum ESPRESSO input:
```
&SYSTEM
  ibrav = 0, nat = 6, ntyp = 4
/
ATOMIC_SPECIES
Dy 162.50 Dy.upf
S 32.06 S.upf
Cl 35.45 Cl.upf
Nb 92.91 Nb.upf
CELL_PARAMETERS angstrom
3.654 0.000 0.000
0.000 5.157 0.000
0.000 0.000 7.966
ATOMIC_POSITIONS angstrom
Dy 0.000 0.000 7.005
S 0.000 2.578 7.117
S 1.827 0.000 1.048
Cl 0.000 2.578 2.697
Cl 1.827 0.000 5.111
Nb 1.827 2.578 0.921
```

Properties
Electronic total energy in eV/f.u.: -35.62



No. 5
DFT (PBE) results for a geometry-optimized NaSmBi2 structure. Values from VASP.

Cell and atoms, written as Quantum ESPRESSO input:
```
&SYSTEM
  ibrav = 0, nat = 8, ntyp = 3
/
ATOMIC_SPECIES
Na 22.99 Na.upf
Sm 150.36 Sm.upf
Bi 208.98 Bi.upf
CELL_PARAMETERS angstrom
4.537 0.000 0.000
0.000 4.537 0.000
0.000 0.000 11.635
ATOMIC_POSITIONS angstrom
Na 2.269 2.269 0.000
Na 0.000 0.000 0.000
Sm 0.000 2.269 3.281
Sm 2.269 0.000 8.354
Bi 2.269 2.269 5.817
Bi 0.000 2.269 9.320
Bi 2.269 0.000 2.315
Bi 0.000 0.000 5.817
```

Properties
Electronic total energy in eV/f.u.: -16.34



No. 6
DFT (PBE) results for a geometry-optimized BaTbCuSeS2 structure. Values from VASP.

Cell and atoms, written as Quantum ESPRESSO input:
```
&SYSTEM
  ibrav = 0, nat = 12, ntyp = 5
/
ATOMIC_SPECIES
S 32.06 S.upf
Cu 63.55 Cu.upf
Se 78.96 Se.upf
Ba 137.33 Ba.upf
Tb 158.93 Tb.upf
CELL_PARAMETERS angstrom
-1.915 6.589 -2.287
-1.583 -5.695 4.167
5.405 4.344 7.990
ATOMIC_POSITIONS angstrom
S 0.466 6.903 1.992
S -1.509 5.316 -0.926
S 3.415 -0.079 10.797
S 1.441 -1.666 7.878
Cu -0.553 7.267 -0.075
Cu 2.459 -2.030 9.946
Se -0.423 2.449 2.456
Se 2.329 2.788 7.414
Ba 2.224 6.699 5.359
Ba -0.317 -1.462 4.511
Tb 0.953 2.619 4.935
Tb -1.749 0.447 0.940
```

Properties
Electronic total energy in eV/f.u.: -31.93



No. 7
DFT (PBE) results for a geometry-optimized YCd2Ag structure. Values from VASP.

Cell and atoms, written as Quantum ESPRESSO input:
```
&SYSTEM
  ibrav = 0, nat = 4, ntyp = 3
/
ATOMIC_SPECIES
Cd 112.41 Cd.upf
Y 88.91 Y.upf
Ag 107.87 Ag.upf
CELL_PARAMETERS angstrom
0.000 3.517 3.517
3.517 0.000 3.517
3.517 3.517 0.000
ATOMIC_POSITIONS angstrom
Cd 1.759 1.759 1.759
Cd 0.000 0.000 0.000
Y 3.517 3.517 3.517
Ag 5.276 5.276 5.276
```

Properties
ΔE_f in eV/atom: -0.31
Electronic total energy in eV/f.u.: -12.30



No. 8
DFT (PBE) results for a geometry-optimized NdSeN3 structure. Values from VASP.

Cell and atoms, written as Quantum ESPRESSO input:
```
&SYSTEM
  ibrav = 0, nat = 10, ntyp = 3
/
ATOMIC_SPECIES
Se 78.96 Se.upf
N 14.01 N.upf
Nd 144.24 Nd.upf
CELL_PARAMETERS angstrom
5.747 0.000 0.000
0.000 4.058 0.000
-2.582 0.000 6.408
ATOMIC_POSITIONS angstrom
Se 2.460 1.015 1.071
Se 0.704 3.044 5.337
N 0.366 1.015 5.694
N 2.434 3.044 5.239
N 0.731 1.015 1.169
N -0.503 3.044 4.077
N 2.798 3.044 0.714
N 3.667 1.015 2.332
Nd -0.583 3.044 1.685
Nd 3.747 1.015 4.723
```

Properties
Electronic total energy in eV/f.u.: -32.53



No. 9
DFT (PBE) results for a geometry-optimized K3ErH9C6O14 structure. Values from VASP.

Cell and atoms, written as Quantum ESPRESSO input:
```
&SYSTEM
  ibrav = 0, nat = 66, ntyp = 5
/
ATOMIC_SPECIES
O 16.00 O.upf
H 1.01 H.upf
C 12.01 C.upf
K 39.10 K.upf
Er 167.26 Er.upf
CELL_PARAMETERS angstrom
-1.070 1.219 6.826
-3.645 -5.712 1.822
13.908 -7.112 2.693
ATOMIC_POSITIONS angstrom
O 9.710 -7.076 9.500
O 4.366 -6.432 4.467
O 7.070 -5.742 3.503
O -3.137 -4.776 2.941
O 7.054 -7.899 7.516
O 2.650 -2.197 5.019
O 11.250 -5.330 6.644
O 8.524 -8.659 4.267
O -0.040 -0.918 5.775
O 8.244 -5.097 5.316
O 3.510 -4.310 6.891
O 0.033 -4.522 6.040
O 9.582 -10.240 6.523
O -2.153 -4.736 5.611
O 12.029 -8.079 7.192
O 5.466 -6.503 8.249
O 0.378 -1.480 2.666
O 5.526 -3.731 7.610
O 2.663 -6.170 2.123
O 5.465 -8.376 4.304
O 0.482 -3.715 2.399
O 1.238 -7.608 5.202
O 2.701 -6.797 8.400
O 11.652 -7.206 4.448
O 2.868 -1.477 1.619
O 9.483 -5.946 2.307
O 9.533 -10.681 9.510
O 4.548 -4.054 2.810
H 3.261 -1.898 4.290
H 8.596 -5.943 2.765
H 7.127 -5.877 7.273
H 1.979 -1.480 2.073
H 8.813 -5.616 9.284
H 6.362 -3.137 2.740
H 6.212 -5.016 5.185
H 10.552 -10.066 4.718
H -1.682 -2.088 6.176
H 4.824 -3.209 5.754
H 7.839 -9.582 9.892
H 0.673 -6.597 8.133
H -0.095 -7.317 4.141
H -1.205 -2.709 2.937
H -0.733 -4.759 4.166
H 4.490 -7.749 6.002
H 9.135 -8.360 3.538
H 12.776 -8.146 3.038
C 6.574 -6.753 7.668
C 11.752 -7.893 3.378
C 4.635 -3.733 6.714
C -0.129 -2.656 2.667
C 10.319 -10.709 5.591
C -1.193 -1.340 5.515
C -0.929 -4.675 5.254
C 1.619 -6.134 8.485
C 4.777 -7.546 4.948
C 7.174 -5.274 4.691
C 5.285 -3.026 2.978
C 8.307 -10.407 9.315
K 2.179 -4.947 4.471
K 4.514 -8.822 8.985
K 1.379 -2.680 7.373
K 9.540 -7.408 6.609
K -2.145 -4.474 8.210
K 6.919 -10.040 5.973
Er 5.158 -6.234 2.294
Er 13.303 -6.583 5.956
```

Properties
Electronic total energy in eV/f.u.: -203.97



No. 10
DFT (PBE) results for a geometry-optimized ZnCdPbSe3 structure. Values from VASP.

Cell and atoms, written as Quantum ESPRESSO input:
```
&SYSTEM
  ibrav = 0, nat = 12, ntyp = 4
/
ATOMIC_SPECIES
Se 78.96 Se.upf
Zn 65.41 Zn.upf
Pb 207.20 Pb.upf
Cd 112.41 Cd.upf
CELL_PARAMETERS angstrom
-3.114 1.910 -1.749
-5.378 -4.668 -0.212
-3.382 3.453 9.791
ATOMIC_POSITIONS angstrom
Se -7.345 -0.687 2.947
Se -5.751 2.628 8.417
Se -7.279 -1.143 7.021
Se -4.595 1.837 0.809
Se -4.529 1.381 4.882
Se -6.124 -1.934 -0.588
Zn -7.570 -2.541 1.325
Zn -4.304 3.235 6.505
Pb -7.474 1.816 5.910
Pb -4.401 -1.122 1.920
Cd -1.691 1.726 4.895
Cd 0.000 0.000 0.000
```

Properties
Electronic total energy in eV/f.u.: -19.35
Energy above the most stable polymorph in this dataset in meV/atom: 0



No. 11
DFT (PBE) results for a geometry-optimized RbHfCu structure. Values from VASP.

Cell and atoms, written as Quantum ESPRESSO input:
```
&SYSTEM
  ibrav = 0, nat = 3, ntyp = 3
/
ATOMIC_SPECIES
Rb 85.47 Rb.upf
Cu 63.55 Cu.upf
Hf 178.49 Hf.upf
CELL_PARAMETERS angstrom
0.000 3.514 3.514
3.514 0.000 3.514
3.514 3.514 0.000
ATOMIC_POSITIONS angstrom
Rb 5.271 5.271 5.271
Cu 0.000 0.000 0.000
Hf 1.757 1.757 1.757
```

Properties
Electronic total energy in eV/f.u.: -10.37
Energy above the most stable polymorph in this dataset in meV/atom: 0



No. 12
DFT (PBE) results for a geometry-optimized Dy2S3 structure. Values from VASP.

Cell and atoms, written as Quantum ESPRESSO input:
```
&SYSTEM
  ibrav = 0, nat = 20, ntyp = 2
/
ATOMIC_SPECIES
S 32.06 S.upf
Dy 162.50 Dy.upf
CELL_PARAMETERS angstrom
-7.097 -1.333 1.047
0.761 -3.800 0.322
1.897 1.646 14.958
ATOMIC_POSITIONS angstrom
S -5.307 -3.170 10.372
S -0.184 -2.905 1.376
S -3.039 -2.969 7.369
S 0.868 -0.317 5.954
S -1.220 -2.035 14.098
S -1.400 -0.517 8.957
S -4.255 -0.582 14.950
S -3.219 -1.451 2.229
S 0.609 0.137 11.929
S -1.380 -2.853 4.820
S -3.059 -0.634 11.506
S -5.048 -3.624 4.398
Dy -4.018 -2.685 13.042
Dy -4.552 -3.757 1.650
Dy -4.222 -1.078 9.003
Dy -3.796 -1.317 5.174
Dy -0.217 -2.408 7.323
Dy -0.643 -2.169 11.152
Dy -0.421 -0.801 3.284
Dy 0.112 0.270 14.676
```

Properties
Electronic total energy in eV/f.u.: -31.93